# PBE-GGA Tb4PmAg, relaxed
# Distance to the lowest polymorph of the same formula, meV/atom: 130
# Theoretical density, Mg/m³: 7.92
# Formation enthalpy at 0 K, eV/atom: 0.05
# N(E_F), states/eV per atom: 1.49
data_Tb4PmAg
_cell_length_a 5.465
_cell_length_b 20.998
_cell_length_c 6.493
_cell_angle_alpha 90.00
_cell_angle_beta 90.00
_cell_angle_gamma 90.00
_space_group_name_H-M_alt 'C m c 21'
_space_group_IT_number 36
loop_
_space_group_symop_operation_xyz
'x,y,z'
'-x,-y,z+1/2'
'-x,y,z'
'x,-y,z+1/2'
'x+1/2,y+1/2,z'
'-x+1/2,-y+1/2,z+1/2'
'-x+1/2,y+1/2,z'
'x+1/2,-y+1/2,z+1/2'
loop_
_atom_site_label
_atom_site_type_symbol
_atom_site_fract_x
_atom_site_fract_y
_atom_site_fract_z
Tb1 Tb 0.000 0.034 0.000
Tb2 Tb 0.000 0.176 0.799
Tb3 Tb 0.000 0.243 0.283
Tb4 Tb 0.000 0.434 0.163
Pm1 Pm 0.000 0.365 0.657
Ag1 Ag 0.000 0.103 0.407

=====

# PBE-GGA LiCeGa2, relaxed
# Distance to the lowest polymorph of the same formula, meV/atom: 114
# Theoretical density, Mg/m³: 5.46
# Formation enthalpy at 0 K, eV/atom: -0.31
# N(E_F), states/eV per atom: 1.61
data_LiCeGa2
_cell_length_a 4.896
_cell_length_b 4.896
_cell_length_c 3.638
_cell_angle_alpha 90.00
_cell_angle_beta 90.00
_cell_angle_gamma 90.00
_space_group_name_H-M_alt 'P 4/m m m'
_space_group_IT_number 123
_space_group_name_Hall '-P 4 2'
loop_
_atom_site_label
_atom_site_type_symbol
_atom_site_fract_x
_atom_site_fract_y
_atom_site_fract_z
Li1 Li 0.000 0.000 0.000
Ce1 Ce 0.500 0.500 0.000
Ga1 Ga 0.000 0.500 0.500

=====

# PBE-GGA Nd12CdSn6, relaxed
# Theoretical density, Mg/m³: 6.02
# Formation enthalpy at 0 K, eV/atom: -0.32
# N(E_F), states/eV per atom: 1.11
data_Nd12CdSn6
_cell_length_a 14.0162
_cell_length_b 14.0162
_cell_length_c 12.4297
_cell_angle_alpha 90.00
_cell_angle_beta 90.00
_cell_angle_gamma 120.00
_space_group_name_H-M_alt 'R -3'
_space_group_IT_number 148
_space_group_name_Hall '-R 3'
loop_
_atom_site_label
_atom_site_type_symbol
_atom_site_fract_x
_atom_site_fract_y
_atom_site_fract_z
Nd1 Nd 0.0296 0.2006 0.3878
Nd2 Nd 0.0602 0.2185 0.8895
Cd1 Cd 0.0000 0.0000 0.0000
Sn1 Sn 0.0403 0.2679 0.6439

=====

# PBE-GGA BeBr3, relaxed
# Distance to the lowest polymorph of the same formula, meV/atom: 1197
# Theoretical density, Mg/m³: 4.54
# N(E_F), states/eV per atom: 0.88
data_BeBr3
_cell_length_a 7.141
_cell_length_b 7.141
_cell_length_c 7.141
_cell_angle_alpha 90.00
_cell_angle_beta 90.00
_cell_angle_gamma 90.00
_space_group_name_H-M_alt 'F m -3 m'
_space_group_IT_number 225
_space_group_name_Hall '-F 4 2 3'
loop_
_atom_site_label
_atom_site_type_symbol
_atom_site_fract_x
_atom_site_fract_y
_atom_site_fract_z
Be1 Be 0.000 0.000 0.000
Br1 Br 0.000 0.000 0.500
Br2 Br 0.250 0.250 0.250

=====

# PBE-GGA CePm2PaAs4, relaxed
# Theoretical density, Mg/m³: 7.66
# Formation enthalpy at 0 K, eV/atom: -1.39
# N(E_F), states/eV per atom: 1.27
data_CePm2PaAs4
_cell_length_a 7.255
_cell_length_b 4.192
_cell_length_c 7.262
_cell_angle_alpha 90.00
_cell_angle_beta 109.45
_cell_angle_gamma 90.00
_space_group_name_H-M_alt 'P 1 2/m 1'
_space_group_IT_number 10
loop_
_space_group_symop_operation_xyz
'x,y,z'
'-x,-y,-z'
'-x,y,-z'
'x,-y,z'
loop_
_atom_site_label
_atom_site_type_symbol
_atom_site_fract_x
_atom_site_fract_y
_atom_site_fract_z
Ce1 Ce 0.000 0.000 0.000
Pm1 Pm 0.500 0.000 0.500
Pm2 Pm 0.500 0.500 0.000
Pa1 Pa 0.000 0.500 0.500
As1 As 0.240 0.000 0.742
As2 As 0.243 0.500 0.253

=====

# PBE-GGA Nd2Ni5Ir5, relaxed
# Theoretical density, Mg/m³: 13.39
# Formation enthalpy at 0 K, eV/atom: -0.40
# N(E_F), states/eV per atom: 0.92
data_Nd2Ni5Ir5
_cell_length_a 4.065
_cell_length_b 5.262
_cell_length_c 8.945
_cell_angle_alpha 90.00
_cell_angle_beta 90.00
_cell_angle_gamma 90.00
_space_group_name_H-M_alt 'P m m m'
_space_group_IT_number 47
loop_
_space_group_symop_operation_xyz
'x,y,z'
'-x,-y,-z'
'-x,-y,z'
'x,y,-z'
'x,-y,-z'
'-x,y,z'
'-x,y,-z'
'x,-y,z'
loop_
_atom_site_label
_atom_site_type_symbol
_atom_site_fract_x
_atom_site_fract_y
_atom_site_fract_z
Nd1 Nd 0.000 0.000 0.000
Nd2 Nd 0.000 0.500 0.500
Ni1 Ni 0.000 0.000 0.332
Ni2 Ni 0.000 0.500 0.157
Ni3 Ni 0.500 0.500 0.000
Ir1 Ir 0.500 0.000 0.500
Ir2 Ir 0.500 0.253 0.246

=====

# PBE-GGA Pm3Be4C4, relaxed
# Theoretical density, Mg/m³: 6.67
# Formation enthalpy at 0 K, eV/atom: 0.15
# N(E_F), states/eV per atom: 0.20
data_Pm3Be4C4
_cell_length_a 6.371
_cell_length_b 6.371
_cell_length_c 6.371
_cell_angle_alpha 90.00
_cell_angle_beta 90.00
_cell_angle_gamma 90.00
_space_group_name_H-M_alt 'I -4 3 m'
_space_group_IT_number 217
_space_group_name_Hall 'I -4 2 3'
loop_
_atom_site_label
_atom_site_type_symbol
_atom_site_fract_x
_atom_site_fract_y
_atom_site_fract_z
Pm1 Pm 0.000 0.000 0.500
Be1 Be 0.130 0.130 0.130
C1 C 0.172 0.172 0.828

=====

# PBE-GGA WSe2I, relaxed
# Distance to the lowest polymorph of the same formula, meV/atom: 98
# Theoretical density, Mg/m³: 4.58
data_WSe2I
_cell_length_a 6.538
_cell_length_b 7.480
_cell_length_c 7.875
_cell_angle_alpha 63.30
_cell_angle_beta 86.37
_cell_angle_gamma 80.79
_space_group_name_H-M_alt 'P 1'
_space_group_IT_number 1
loop_
_space_group_symop_operation_xyz
'x,y,z'
loop_
_atom_site_label
_atom_site_type_symbol
_atom_site_fract_x
_atom_site_fract_y
_atom_site_fract_z
W1 W 0.000 0.000 0.000
W2 W 0.345 0.207 0.819
Se1 Se 0.121 0.058 0.692
Se2 Se 0.203 0.535 0.699
Se3 Se 0.251 0.062 0.164
Se4 Se 0.692 0.216 0.979
I1 I 0.597 0.168 0.541
I2 I 0.956 0.620 0.177

=====

# PBE-GGA MnBe2Cl, relaxed
# Distance to the lowest polymorph of the same formula, meV/atom: 261
# Theoretical density, Mg/m³: 3.69
# N(E_F), states/eV per atom: 0.52
data_MnBe2Cl
_cell_length_a 2.8386
_cell_length_b 2.8386
_cell_length_c 21.0004
_cell_angle_alpha 90.00
_cell_angle_beta 90.00
_cell_angle_gamma 120.00
_space_group_name_H-M_alt 'R -3 m'
_space_group_IT_number 166
_space_group_name_Hall '-R 3 2"'
loop_
_atom_site_label
_atom_site_type_symbol
_atom_site_fract_x
_atom_site_fract_y
_atom_site_fract_z
Mn1 Mn 0.0000 0.0000 0.0000
Be1 Be 0.0000 0.0000 0.2503
Cl1 Cl 0.0000 0.0000 0.5000

=====

# PBE-GGA CaMgCrAs2, relaxed
# Theoretical density, Mg/m³: 3.73
# Formation enthalpy at 0 K, eV/atom: 0.72
# N(E_F), states/eV per atom: 1.03
data_CaMgCrAs2
_cell_length_a 5.010
_cell_length_b 5.010
_cell_length_c 4.724
_cell_angle_alpha 90.00
_cell_angle_beta 90.00
_cell_angle_gamma 90.00
_space_group_name_H-M_alt 'P 4/m m m'
_space_group_IT_number 123
_space_group_name_Hall '-P 4 2'
loop_
_atom_site_label
_atom_site_type_symbol
_atom_site_fract_x
_atom_site_fract_y
_atom_site_fract_z
Ca1 Ca 0.000 0.000 0.000
Mg1 Mg 0.500 0.500 0.500
Cr1 Cr 0.500 0.500 0.000
As1 As 0.000 0.500 0.500

=====

# PBE-GGA Ti2NiHOs, relaxed
# Distance to the lowest polymorph of the same formula, meV/atom: 0
# Theoretical density, Mg/m³: 9.71
# N(E_F), states/eV per atom: 0.85
data_Ti2NiHOs
_cell_length_a 4.249
_cell_length_b 4.249
_cell_length_c 3.273
_cell_angle_alpha 90.00
_cell_angle_beta 90.00
_cell_angle_gamma 90.00
_space_group_name_H-M_alt 'P 4/m m m'
_space_group_IT_number 123
_space_group_name_Hall '-P 4 2'
loop_
_atom_site_label
_atom_site_type_symbol
_atom_site_fract_x
_atom_site_fract_y
_atom_site_fract_z
Ti1 Ti 0.000 0.500 0.000
Ni1 Ni 0.000 0.000 0.500
H1 H 0.000 0.000 0.000
Os1 Os 0.500 0.500 0.500

=====

# PBE-GGA Li2MgGe2Pd5, relaxed
# Theoretical density, Mg/m³: 7.28
# Formation enthalpy at 0 K, eV/atom: -0.51
# N(E_F), states/eV per atom: 0.32
data_Li2MgGe2Pd5
_cell_length_a 9.324
_cell_length_b 9.324
_cell_length_c 3.757
_cell_angle_alpha 90.00
_cell_angle_beta 90.00
_cell_angle_gamma 90.00
_space_group_name_H-M_alt 'P 4/m b m'
_space_group_IT_number 127
_space_group_name_Hall '-P 4 2ab'
loop_
_atom_site_label
_atom_site_type_symbol
_atom_site_fract_x
_atom_site_fract_y
_atom_site_fract_z
Li1 Li 0.168 0.332 0.000
Mg1 Mg 0.000 0.000 0.000
Ge1 Ge 0.131 0.631 0.000
Pd1 Pd 0.000 0.500 0.500
Pd2 Pd 0.075 0.799 0.500